A plane-wave DFT calculation with PBE was carried out for crystalline BeTlCuIr2 at its relaxed geometry.

E_form = 2.07 eV per atom
DOS at the Fermi energy = 0.75 states/eV/atom

Lattice parameters (Å, degrees): 4.995 4.338 4.995 90.00 90.00 90.00
Fractional positions:
Be (0.000, 0.500, 0.000)
Tl (0.000, 0.000, 0.000)
Ir (0.000, 0.000, 0.500)
Ir (0.500, 0.000, 0.000)
Cu (0.500, 0.500, 0.500)

A plane-wave DFT calculation with PBE was carried out for crystalline ZrU9O20 at its relaxed geometry.

DOS at the Fermi energy = 1.65 states/eV/atom
raw formation energy = -3.266 eV per atom

Lattice parameters (Å, degrees): 6.609 7.632 8.532 102.92 97.42 106.78
Each line ends with the local moment (μB).
Fractional positions:
Zr (0.000, 0.000, 0.000)  0.09
U (0.000, 0.500, 0.000)  1.96
U (0.400, 0.801, 0.801)  1.97
U (0.398, 0.299, 0.801)  2.00
U (0.801, 0.100, 0.602)  1.99
U (0.801, 0.601, 0.602)  1.98
U (0.199, 0.399, 0.398)  1.98
U (0.199, 0.900, 0.398)  1.99
U (0.602, 0.701, 0.199)  2.00
U (0.600, 0.199, 0.199)  1.97
O (0.342, 0.073, 0.952)  -0.04
O (0.349, 0.575, 0.949)  -0.06
O (0.050, 0.220, 0.854)  -0.04
O (0.050, 0.732, 0.854)  -0.04
O (0.450, 0.526, 0.650)  -0.06
O (0.451, 0.025, 0.651)  -0.06
O (0.753, 0.376, 0.751)  -0.06
O (0.757, 0.879, 0.757)  -0.04
O (0.150, 0.675, 0.550)  -0.06
O (0.151, 0.175, 0.550)  -0.06
O (0.850, 0.325, 0.450)  -0.06
O (0.550, 0.474, 0.350)  -0.06
O (0.549, 0.975, 0.349)  -0.06
O (0.849, 0.825, 0.450)  -0.06
O (0.243, 0.121, 0.243)  -0.04
O (0.247, 0.624, 0.249)  -0.06
O (0.651, 0.425, 0.051)  -0.06
O (0.658, 0.927, 0.048)  -0.04
O (0.950, 0.268, 0.146)  -0.04
O (0.950, 0.780, 0.146)  -0.04

A plane-wave DFT calculation with PBE was carried out for crystalline Pu3In5S12 at its relaxed geometry.

DOS at the Fermi energy = 1.42 states/eV/atom
raw formation energy = -0.921 eV per atom

Lattice parameters (Å, degrees): 13.662 13.662 13.662 109.47 109.47 109.47
Each line ends with the local moment (μB).
Fractional positions:
Pu (0.750, 0.375, 0.125)  5.08
Pu (0.875, 0.750, 0.125)  5.08
Pu (0.375, 0.750, 0.625)  5.08
Pu (0.250, 0.125, 0.375)  5.08
Pu (0.875, 0.125, 0.250)  5.08
Pu (0.375, 0.625, 0.250)  5.08
Pu (0.625, 0.375, 0.750)  5.08
Pu (0.125, 0.875, 0.750)  5.08
Pu (0.750, 0.875, 0.625)  5.08
Pu (0.625, 0.250, 0.375)  5.08
Pu (0.125, 0.250, 0.875)  5.08
Pu (0.250, 0.625, 0.875)  5.08
In (0.125, 0.375, 0.250)  0.01
In (0.000, 0.500, 0.000)  0.02
In (0.000, 0.000, 0.000)  0.02
In (0.375, 0.250, 0.125)  0.01
In (0.500, 0.000, 0.500)  0.02
In (0.500, 0.500, 0.000)  0.02
In (0.125, 0.750, 0.375)  0.01
In (0.750, 0.125, 0.875)  0.01
In (0.750, 0.625, 0.375)  0.01
In (0.375, 0.125, 0.750)  0.01
In (0.625, 0.875, 0.250)  0.01
In (0.500, 0.500, 0.500)  0.02
In (0.500, 0.000, 0.000)  0.02
In (0.000, 0.000, 0.500)  0.02
In (0.250, 0.375, 0.625)  0.01
In (0.250, 0.875, 0.125)  0.01
In (0.000, 0.500, 0.500)  0.02
In (0.875, 0.250, 0.625)  0.01
In (0.625, 0.750, 0.875)  0.01
In (0.875, 0.625, 0.750)  0.01
S (0.717, 0.130, 0.043)  -0.05
S (0.326, 0.543, 0.413)  -0.05
S (0.957, 0.370, 0.283)  -0.05
S (0.543, 0.217, 0.130)  -0.05
S (0.587, 0.717, 0.674)  -0.05
S (0.957, 0.587, 0.174)  -0.05
S (0.326, 0.783, 0.413)  -0.05
S (0.087, 0.913, 0.130)  -0.05
S (0.587, 0.957, 0.674)  -0.05
S (0.717, 0.587, 0.174)  -0.05
S (0.783, 0.457, 0.370)  -0.05
S (0.826, 0.913, 0.043)  -0.05
S (0.130, 0.717, 0.543)  -0.05
S (0.370, 0.413, 0.087)  -0.05
S (0.087, 0.913, 0.370)  -0.05
S (0.413, 0.130, 0.587)  -0.05
S (0.087, 0.174, 0.217)  -0.05
S (0.457, 0.674, 0.087)  -0.05
S (0.826, 0.913, 0.283)  -0.05
S (0.130, 0.413, 0.087)  -0.05
S (0.370, 0.957, 0.783)  -0.05
S (0.587, 0.630, 0.413)  -0.05
S (0.913, 0.826, 0.543)  -0.05
S (0.783, 0.326, 0.913)  -0.05
S (0.413, 0.370, 0.587)  -0.05
S (0.087, 0.174, 0.457)  -0.05
S (0.217, 0.674, 0.087)  -0.05
S (0.174, 0.087, 0.717)  -0.05
S (0.630, 0.043, 0.217)  -0.05
S (0.870, 0.587, 0.913)  -0.05
S (0.543, 0.326, 0.913)  -0.05
S (0.587, 0.870, 0.413)  -0.05
S (0.913, 0.826, 0.783)  -0.05
S (0.913, 0.087, 0.630)  -0.05
S (0.870, 0.283, 0.457)  -0.05
S (0.174, 0.087, 0.957)  -0.05
S (0.630, 0.587, 0.913)  -0.05
S (0.413, 0.043, 0.326)  -0.05
S (0.283, 0.413, 0.826)  -0.05
S (0.217, 0.543, 0.630)  -0.05
S (0.913, 0.087, 0.870)  -0.05
S (0.674, 0.217, 0.587)  -0.05
S (0.457, 0.783, 0.870)  -0.05
S (0.043, 0.413, 0.826)  -0.05
S (0.413, 0.283, 0.326)  -0.05
S (0.043, 0.630, 0.717)  -0.05
S (0.674, 0.457, 0.587)  -0.05
S (0.283, 0.870, 0.957)  -0.05

A plane-wave DFT calculation with PBE was carried out for crystalline ZrNbAl2 at its relaxed geometry.

E_form = -0.36 eV per atom
DOS at the Fermi energy = 0.64 states/eV/atom

Lattice parameters (Å, degrees): 4.149 4.174 4.174 90.00 90.00 90.00
Fractional positions:
Nb (0.500, 0.000, 0.000)
Al (0.000, 0.000, 0.500)
Al (0.000, 0.500, 0.000)
Zr (0.500, 0.500, 0.500)

A plane-wave DFT calculation with PBE was carried out for crystalline Na2TlCl at its relaxed geometry.

DOS at the Fermi energy = 0.35 states/eV/atom
raw formation energy = -0.485 eV per atom

Lattice parameters (Å, degrees): 5.467 5.467 5.467 60.00 60.00 60.00
Fractional positions:
Na (0.250, 0.250, 0.250)
Na (0.750, 0.750, 0.750)
Tl (0.500, 0.500, 0.500)
Cl (0.000, 0.000, 0.000)

A plane-wave DFT calculation with PBE was carried out for crystalline HgPb2 at its relaxed geometry.

E_form = 0.05 eV per atom
DOS at the Fermi energy = 0.45 states/eV/atom

Lattice parameters (Å, degrees): 6.220 6.220 6.220 103.65 103.65 121.87
Fractional positions:
Hg (0.750, 0.750, 0.000)
Hg (0.250, 0.250, 0.000)
Pb (0.343, 0.157, 0.500)
Pb (0.657, 0.843, 0.500)
Pb (0.157, 0.657, 0.813)
Pb (0.843, 0.343, 0.187)